First-principles (PBE) data for an optimized crystal structure of ZrTa2Te, as listed in Alexandria.

Values from the calculation:
Formation energy (no corrections) in eV/atom: 0.109
Spin magnetization in μB per cell: 0.00

Structure (POSCAR):
```
ZrTa2Te
1.0
3.396 0.000 0.000
-1.698 2.941 0.000
0.000 0.000 25.874
Zr Ta Te
3 6 3
Direct
0.000 0.000 0.000
0.333 0.667 0.667
0.667 0.333 0.333
0.000 0.000 0.496
0.000 0.000 0.753
0.333 0.667 0.163
0.333 0.667 0.419
0.667 0.333 0.086
0.667 0.333 0.829
0.000 0.000 0.244
0.333 0.667 0.911
0.667 0.333 0.577
```


First-principles (PBE) data for an optimized crystal structure of ZrTa2Te, as listed in Alexandria.

Values from the calculation:
Formation energy (no corrections) in eV/atom: 0.001
Spin magnetization in μB per cell: 0.00

Structure (POSCAR):
```
ZrTa2Te
1.0
3.634 0.000 0.000
0.000 4.780 0.000
0.000 0.000 9.282
Zr Ta Te
2 4 2
Direct
0.000 0.000 0.000
0.500 0.500 0.500
0.000 0.000 0.481
0.000 0.500 0.753
0.500 0.000 0.253
0.500 0.500 0.981
0.000 0.500 0.235
0.500 0.000 0.735
```


First-principles (PBE) data for an optimized crystal structure of ZrTa2Te, as listed in Alexandria.

Values from the calculation:
Formation energy (no corrections) in eV/atom: -0.019
Spin magnetization in μB per cell: 0.00

Structure (POSCAR):
```
ZrTa2Te
1.0
10.042 0.000 0.000
0.000 3.480 0.000
-1.304 0.000 4.620
Zr Ta Te
2 4 2
Direct
0.000 0.000 0.000
0.500 0.500 0.000
0.246 0.000 0.736
0.254 0.500 0.264
0.746 0.500 0.736
0.754 0.000 0.264
0.000 0.500 0.500
0.500 0.000 0.500
```


First-principles (PBE) data for an optimized crystal structure of ZrTaTe, as listed in Alexandria.

Values from the calculation:
Formation energy (no corrections) in eV/atom: 0.022
Spin magnetization in μB per cell: 0.00
Relative energy among the computed polymorphs in eV/atom: 0.496

Structure (POSCAR):
```
ZrTaTe
1.0
3.739 0.000 0.000
0.000 5.298 0.000
0.000 0.000 13.206
Zr Ta Te
4 4 4
Direct
0.000 0.000 0.000
0.000 0.500 0.500
0.500 0.000 0.500
0.500 0.500 0.000
0.000 0.000 0.667
0.000 0.500 0.167
0.500 0.000 0.167
0.500 0.500 0.667
0.000 0.000 0.329
0.000 0.500 0.829
0.500 0.000 0.829
0.500 0.500 0.329
```